No. 1
Na2DyCuF6 after structural relaxation. Source: the Alexandria database, functional PBE.

Unit cell a=5.771 b=5.530 c=9.847 alpha=90.00 beta=90.13 gamma=90.00
Each line ends with the local moment (μB).
Fractional positions:
F 0.831 0.715 0.343  0.00
Dy 0.000 0.500 0.500  0.00
Na 0.500 0.501 0.713  0.00
F 0.831 0.717 0.655  0.00
F 0.669 0.217 0.845  0.00
F 0.173 0.213 0.001  0.00
Cu 0.000 0.500 0.000  0.07
F 0.331 0.785 0.843  0.00
Na 0.500 0.499 0.287  0.00
Na 0.000 0.001 0.787  0.00
F 0.169 0.283 0.345  0.00
F 0.827 0.787 0.999  0.00
F 0.669 0.215 0.157  0.00
F 0.673 0.287 0.501  0.00
F 0.327 0.713 0.499  0.00
F 0.331 0.783 0.155  0.00
Dy 0.500 0.000 0.000  0.00
Cu 0.500 0.000 0.500  0.07
F 0.169 0.285 0.657  0.00
Na 0.000 0.999 0.213  0.00

Output
As for the energy relative to the elements, uncorrected: -2924 meV per atom. As for the space group: No. 14. For the density of states at the Fermi level, the calculation gives 0.000 states/eV per cell.

---

No. 2
LiHoPa2N5 after structural relaxation. Source: the Alexandria database, functional PBE.

Unit cell a=3.518 b=6.669 c=10.294 alpha=90.00 beta=90.00 gamma=105.29
Fractional positions:
Pa 0.099 0.199 0.286
N 0.669 0.338 0.512
Ho 0.153 0.306 0.963
Ho 0.847 0.694 0.463
N 0.510 0.021 0.842
N 0.664 0.328 0.128
N 0.331 0.662 0.012
N 0.721 0.441 0.797
Pa 0.901 0.801 0.786
Li 0.489 0.977 0.034
Pa 0.833 0.666 0.151
N 0.336 0.672 0.628
N 0.997 0.994 0.610
Li 0.511 0.023 0.534
Pa 0.167 0.334 0.651
N 0.490 0.979 0.342
N 0.279 0.559 0.297
N 0.003 0.006 0.110

Output
As for the energy relative to the elements, uncorrected: -1188 meV per atom. As for the space group: No. 36. For the density of states at the Fermi level, the calculation gives 8.869 states/eV per cell.

---

No. 3
Pr6Nd2Ho after structural relaxation. Source: the Alexandria database, functional PBE.

Unit cell a=3.691 b=10.255 c=10.255 alpha=55.86 beta=90.00 gamma=90.00
Fractional positions:
Pr 0.500 0.315 0.685
Pr 0.000 0.510 0.161
Nd 0.500 0.175 0.175
Nd 0.500 0.825 0.825
Pr 0.000 0.161 0.510
Pr 0.500 0.685 0.315
Pr 0.000 0.490 0.839
Ho 0.000 0.000 0.000
Pr 0.000 0.839 0.490

Output
As for the energy above the most stable polymorph in this dataset: 18 meV per atom. As for the space group: No. 65. For the density of states at the Fermi level, the calculation gives 13.148 states/eV per cell.